Record 1
NiRu3Rh | PBE | relaxed

Cell and atoms, written as extended XYZ:
```
10
Lattice="4.778 -2.148 0.000 4.778 2.148 0.000 -2.569 0.000 6.676" Properties=species:S:1:pos:R:3 pbc="T T T"
Ni -0.460 0.000 2.514
Ni 7.448 0.000 4.162
Ru 1.099 0.000 0.613
Ru 0.131 0.000 5.132
Ru 1.950 0.000 3.111
Ru 5.038 0.000 3.565
Ru 6.856 0.000 1.544
Ru 5.889 0.000 6.063
Rh 3.832 0.000 1.065
Rh 3.156 0.000 5.611
```

Output
* volume: 69 Å³/f.u.
* electronic total energy: -79.579 eV for the cell shown
* energy above the most stable polymorph in this dataset: 0.000 eV per atom


Record 2
BaOs2WI | PBE | relaxed

Cell and atoms, written as extended XYZ:
```
5
Lattice="4.864 0.000 0.000 0.000 4.864 0.000 0.000 0.000 5.850" Properties=species:S:1:pos:R:3 pbc="T T T"
Ba 0.000 0.000 0.000
Os 0.000 2.432 2.925
Os 2.432 0.000 2.925
W 2.432 2.432 0.000
I 0.000 0.000 2.925
```

Output
* volume: 138 Å³/f.u.
* formation energy (no corrections): 280.0 kJ/mol of atoms
* electronic total energy: -24.374 eV for the cell shown


Record 3
La8CuSi3Br4 | PBE | relaxed

Cell and atoms, written as extended XYZ:
```
16
Lattice="4.369 2.522 7.292 -4.369 2.522 7.292 0.000 -5.045 7.292" Properties=species:S:1:pos:R:3 pbc="T T T"
La -2.205 -1.273 12.556
La 0.000 0.000 5.247
La 0.000 -2.546 9.321
La -2.205 1.273 9.321
La 2.205 -1.273 12.556
La 0.000 2.546 12.556
La 0.000 0.000 16.630
La 2.205 1.273 9.321
Cu 0.000 0.000 10.939
Si -4.369 0.000 10.939
Si -2.184 1.261 3.646
Si 2.184 1.261 3.646
Br 0.000 0.000 0.000
Br -2.184 -1.261 7.292
Br -2.184 1.261 14.585
Br 0.000 2.522 7.292
```

Output
* volume: 482 Å³/f.u.
* formation energy (no corrections): -99.3 kJ/mol of atoms
* electronic total energy: -82.946 eV for the cell shown


Record 4
Ca2Pm3YSe6 | PBE | relaxed

Cell and atoms, written as extended XYZ:
```
12
Lattice="3.591 -6.227 0.000 3.591 6.227 0.000 -2.403 0.000 6.905" Properties=species:S:1:pos:R:3 pbc="T T T"
Ca 3.591 4.153 0.000
Ca 3.591 -4.153 0.000
Pm -1.201 0.000 3.452
Pm 2.389 2.124 3.452
Pm 2.389 -2.124 3.452
Y 3.591 0.000 0.000
Se 0.001 2.062 5.244
Se 1.213 0.000 1.700
Se 0.001 -2.062 5.244
Se 4.777 2.062 1.660
Se 3.566 0.000 5.205
Se 4.777 -2.062 1.660
```

Output
* volume: 309 Å³/f.u.
* formation energy (no corrections): -180.4 kJ/mol of atoms
* electronic total energy: -68.069 eV for the cell shown


Record 5
Mg3TlAs | PBE | relaxed

Cell and atoms, written as extended XYZ:
```
5
Lattice="5.248 0.000 0.000 0.000 5.248 0.000 0.000 0.000 5.248" Properties=species:S:1:pos:R:3 pbc="T T T"
Mg 0.000 0.000 2.624
Mg 0.000 2.624 0.000
Mg 2.624 0.000 0.000
Tl 0.000 0.000 0.000
As 2.624 2.624 2.624
```

Output
* volume: 145 Å³/f.u.
* electronic total energy: -9.532 eV for the cell shown
* energy above the most stable polymorph in this dataset: 0.485 eV per atom


Record 6
Pu2ThGa | PBE | relaxed

Cell and atoms, written as extended XYZ:
```
4
Lattice="4.506 0.000 0.000 0.000 4.506 0.000 0.000 0.000 4.945" Properties=species:S:1:pos:R:3 pbc="T T T"
Pu 0.000 2.253 0.000
Pu 2.253 0.000 0.000
Th 0.000 0.000 2.472
Ga 2.253 2.253 2.472
```

Output
* volume: 100 Å³/f.u.
* electronic total energy: -39.746 eV for the cell shown
* energy above the most stable polymorph in this dataset: 0.000 eV per atom